Here is a geometry-optimized SrTlMo structure from Alexandria. Energies are from GGA-PBE.

POSCAR file:
```
SrTlMo
1.0
3.126 0.000 0.000
0.000 3.126 0.000
0.000 0.000 14.903
Sr Tl Mo
2 2 2
Cartesian
0.000 0.000 0.000
1.563 1.563 7.452
0.000 0.000 4.668
1.563 1.563 12.120
0.000 0.000 9.990
1.563 1.563 2.539
```

Calculated values
The space group is I4mm (107). Its total energy is -4.234 eV/atom. The theoretical density comes out at 8846 kg/m3. Its formation energy is 725 meV/atom.



Here is a geometry-optimized Ac4In structure from Alexandria. Energies are from GGA-PBE.

POSCAR file:
```
Ac4In
1.0
6.317 0.000 0.000
0.000 6.317 0.000
0.000 0.000 6.317
Ac In
4 1
Cartesian
0.000 0.000 0.000
0.000 3.159 3.159
3.159 0.000 3.159
3.159 3.159 0.000
3.159 3.159 3.159
```

Calculated values
The space group is Pm-3m (221). Its total energy is -3.582 eV/atom. The theoretical density comes out at 6737 kg/m3. Its formation energy is 253 meV/atom.



Here is a geometry-optimized Mg3ZnH24C8O24 structure from Alexandria. Energies are from GGA-PBE.

POSCAR file:
```
Mg3ZnH24C8O24
1.0
7.174 0.000 0.000
-0.019 8.710 0.000
-0.055 -1.342 9.415
Mg Zn H C O
3 1 24 8 24
Cartesian
0.000 0.000 0.000
-0.037 3.684 4.708
3.560 -0.671 4.708
3.577 4.355 0.000
0.155 1.678 8.305
0.698 2.272 2.499
0.729 1.122 4.751
0.757 6.063 4.331
1.072 3.775 2.129
1.410 7.122 6.792
2.098 7.801 2.081
2.412 3.125 6.826
2.723 5.380 9.039
2.816 1.814 0.022
2.789 1.614 7.205
3.353 2.359 3.586
3.747 5.009 5.830
4.311 5.753 2.211
4.284 5.554 9.394
4.377 1.987 0.377
4.689 4.243 2.590
5.003 -0.433 7.335
5.691 0.246 2.624
6.028 3.592 7.286
6.343 1.304 5.084
6.371 6.246 4.665
6.402 5.096 6.916
6.945 5.689 1.111
0.785 5.782 0.673
1.600 -0.063 2.564
1.932 -0.733 7.275
2.744 5.104 5.374
4.356 2.263 4.042
5.168 8.100 2.141
5.501 7.431 6.851
6.316 1.585 8.742
0.080 1.663 5.273
0.749 0.585 1.879
0.784 3.183 2.874
1.080 6.869 0.073
1.564 4.791 0.825
1.608 -0.465 8.477
1.902 0.196 3.771
1.949 4.123 5.493
2.465 6.200 4.776
2.625 2.513 7.586
2.787 -0.084 6.598
3.461 2.327 0.583
3.639 5.041 8.832
4.313 7.451 2.817
4.475 4.854 1.829
4.635 1.168 4.640
5.152 3.245 3.922
5.198 7.171 5.645
5.493 7.833 0.939
5.536 2.576 8.590
6.020 0.498 9.342
6.316 4.185 6.541
6.351 6.783 7.536
7.020 5.705 4.142
```

Calculated values
The space group is P-1 (2). Its total energy is -5.848 eV/atom. The theoretical density comes out at 1814 kg/m3.



Which of these has the highest theoretical density?
SrTlMo



Which of these has the highest theoretical density?
SrTlMo



What is the theoretical density in the second record?
6737 kg/m3